Record 1
This record from Alexandria via LeMat-Bulk describes a geometry-optimized Ce2PmNdP4 structure. The functional is GGA-PBE.

Calculated values
density of states at the Fermi level	9.48	states/eV per cell
calculated formation energy	-12.27	eV/f.u.
electronic total energy	-55.3	eV per formula unit
space-group type	P2/m (10)

a = 4.1168 Å, b = 7.1303 Å, c = 7.1307 Å
α = 70.53°, β = 90.00°, γ = 90.00°
Fractional coordinates of all 8 atoms:
1 Nd 0.5000 0.5000 0.0000
2 Ce 0.0000 0.0000 0.0000
3 Ce 0.5000 0.0000 0.5000
4 P 0.0000 0.2428 0.2535
5 P 0.0000 0.7572 0.7465
6 P 0.5000 0.7563 0.2490
7 P 0.5000 0.2437 0.7510
8 Pm 0.0000 0.5000 0.5000

=====

Record 2
This record from Alexandria via LeMat-Bulk describes a geometry-optimized YFeP2Cl structure. The functional is GGA-PBE.

Calculated values
energy relative to the lowest polymorph listed for this composition	0	meV/atom
density of states at the Fermi level	2.50	states/eV per cell
ΔE_f (raw)	-0.38	eV per atom
electronic total energy	-29.5	eV per formula unit
space-group type	P4/mmm (123)

a = 4.4200 Å, b = 4.4200 Å, c = 4.8240 Å
α = 90.00°, β = 90.00°, γ = 90.00°
Fractional coordinates of all 5 atoms:
1 P 0.0000 0.5000 0.0000
2 P 0.5000 0.0000 0.0000
3 Y 0.5000 0.5000 0.5000
4 Fe 0.0000 0.0000 0.0000
5 Cl 0.0000 0.0000 0.5000

=====

Record 3
This record from Alexandria via LeMat-Bulk describes a geometry-optimized ThCd2Hg2 structure. The functional is GGA-PBE.

Calculated values
energy relative to the lowest polymorph listed for this composition	0	meV/atom
density of states at the Fermi level	2.14	states/eV per cell
calculated formation energy	-0.76	eV/f.u.
electronic total energy	-10.6	eV per formula unit
space-group type	R-3m (166)

a = 4.9183 Å, b = 4.9183 Å, c = 6.6300 Å
α = 68.22°, β = 68.22°, γ = 60.00°
Fractional coordinates of all 5 atoms:
1 Th 0.0000 0.5000 0.0000
2 Hg 0.4120 0.9120 0.7640
3 Hg 0.5880 0.0880 0.2360
4 Cd 0.7974 0.2974 0.6079
5 Cd 0.2026 0.7026 0.3921

=====

Record 4
This record from Alexandria via LeMat-Bulk describes a geometry-optimized Si2Rh2Pb structure. The functional is GGA-PBE.

Calculated values
density of states at the Fermi level	7.41	states/eV per cell
ΔE_f (raw)	-0.24	eV per atom
electronic total energy	-30.5	eV per formula unit
space-group type	P4/mbm (127)

a = 7.5441 Å, b = 7.5441 Å, c = 2.8804 Å
α = 90.00°, β = 90.00°, γ = 90.00°
Fractional coordinates of all 10 atoms:
1 Si 0.8620 0.3620 0.5000
2 Si 0.3620 0.1380 0.5000
3 Si 0.1380 0.6380 0.5000
4 Si 0.6380 0.8620 0.5000
5 Rh 0.8606 0.6394 0.0000
6 Rh 0.6394 0.1394 0.0000
7 Rh 0.1394 0.3606 0.0000
8 Rh 0.3606 0.8606 0.0000
9 Pb 0.5000 0.5000 0.0000
10 Pb 0.0000 0.0000 0.0000

=====

Q: Which of these has the lowest electronic total energy?
A: Ce2PmNdP4

=====

Q: Look up the electronic total energy of the first one.
A: -55.3 eV per formula unit

=====

Q: Look up the density of states at the Fermi level of the fourth one.
A: 7.41 states/eV per cell